Record 1
Tb2DyHo3S6 | PBE-GGA | relaxed

Cell lengths 6.7614, 6.7614, 6.7597 Å; angles 99.56, 99.56, 120.22 degrees
Fractional positions:
Tb 0.1668 0.8332 0.0000
Tb 0.8332 0.1668 0.0000
Dy 0.5000 0.5000 0.0000
Ho 0.0000 0.0000 0.5000
Ho 0.3326 0.6674 0.5000
Ho 0.6674 0.3326 0.5000
S 0.0835 0.4155 0.7468
S 0.2525 0.2525 0.2538
S 0.4155 0.0835 0.7468
S 0.5845 0.9165 0.2532
S 0.7475 0.7475 0.7462
S 0.9165 0.5845 0.2532

Uncorrected energy in eV per atom: -6.356



Record 2
InGa2Ag6 | PBE-GGA | relaxed

Cell lengths 8.1659, 8.1659, 5.2517 Å; angles 96.12, 96.12, 73.81 degrees
Fractional positions:
In 0.1120 0.8880 0.7500
In 0.8880 0.1120 0.2500
Ga 0.2230 0.4497 0.9080
Ga 0.4497 0.2230 0.4080
Ga 0.5503 0.7770 0.5920
Ga 0.7770 0.5503 0.0920
Ag 0.0175 0.7376 0.1896
Ag 0.0953 0.3566 0.3421
Ag 0.2624 0.9825 0.3104
Ag 0.3211 0.5774 0.4827
Ag 0.3566 0.0953 0.8421
Ag 0.4226 0.6789 0.0173
Ag 0.5774 0.3211 0.9827
Ag 0.6434 0.9047 0.1579
Ag 0.6789 0.4226 0.5173
Ag 0.7376 0.0175 0.6896
Ag 0.9047 0.6434 0.6579
Ag 0.9825 0.2624 0.8104

Energy above the lowest structure with this stoichiometry in eV/atom: 0.007
Energy relative to the elements in kJ/mol of formula units: 12
Uncorrected energy in eV per atom: -2.864



Record 3
Nb2NiH2 | PBE-GGA | relaxed

Cell lengths 6.0991, 6.0991, 2.7764 Å; angles 90.00, 90.00, 90.00 degrees
Fractional positions:
Nb 0.1621 0.3379 0.0000
Nb 0.3379 0.8379 0.0000
Nb 0.6621 0.1621 0.0000
Nb 0.8379 0.6621 0.0000
Ni 0.0000 0.0000 0.5000
Ni 0.5000 0.5000 0.5000
H 0.1318 0.6318 0.5000
H 0.3682 0.1318 0.5000
H 0.6318 0.8682 0.5000
H 0.8682 0.3682 0.5000

Energy above the lowest structure with this stoichiometry in eV/atom: 0.175
Uncorrected energy in eV per atom: -6.513



The highest uncorrected energy belongs to which entry? InGa2Ag6